# 1
The following is a PBE calculation of Sm3DyTm2As6 after structural relaxation, from the Alexandria database.

a = 7.188 Å, b = 7.188 Å, c = 7.182 Å
α = 99.59°, β = 99.59°, γ = 119.99°
Positions (direct):
Sm: 0.000 0.000 0.000
Sm: 0.334 0.666 0.000
Sm: 0.666 0.334 0.000
Dy: 0.500 0.500 0.500
Tm: 0.167 0.833 0.500
Tm: 0.833 0.167 0.500
As: 0.084 0.419 0.258
As: 0.245 0.245 0.741
As: 0.419 0.084 0.258
As: 0.581 0.916 0.742
As: 0.755 0.755 0.259
As: 0.916 0.581 0.742

Results
E	-6.1503	eV/atom
N(E_F)	1.9	states/eV per cell
symmetry	C2/m, No. 12
total magnetization	0.0	μB/cell
ΔE_f	-1.517	eV/atom

***

# 2
The following is a PBE calculation of Ac12Tl2In5 after structural relaxation, from the Alexandria database.

a = 9.731 Å, b = 9.731 Å, c = 10.139 Å
α = 92.54°, β = 92.54°, γ = 52.30°
Positions (direct):
Ac: 0.030 0.030 0.198
Ac: 0.094 0.618 0.046
Ac: 0.104 0.545 0.631
Ac: 0.382 0.906 0.954
Ac: 0.446 0.446 0.318
Ac: 0.455 0.896 0.369
Ac: 0.545 0.104 0.631
Ac: 0.554 0.554 0.682
Ac: 0.618 0.094 0.046
Ac: 0.896 0.455 0.369
Ac: 0.906 0.382 0.954
Ac: 0.970 0.970 0.802
Tl: 0.183 0.817 0.500
Tl: 0.817 0.183 0.500
In: 0.151 0.151 0.647
In: 0.243 0.243 0.187
In: 0.500 0.500 0.000
In: 0.757 0.757 0.813
In: 0.849 0.849 0.353

Results
E	-3.6938	eV/atom
N(E_F)	21.0	states/eV per cell
symmetry	C2/m, No. 12
total magnetization	0.0	μB/cell
ΔE_f	-0.129	eV/atom

***

# 3
The following is a PBE calculation of MgCoHPd2 after structural relaxation, from the Alexandria database.

a = 4.037 Å, b = 4.037 Å, c = 3.719 Å
α = 90.00°, β = 90.00°, γ = 90.00°
Positions (direct):
Mg: 0.000 0.000 0.000
Co: 0.500 0.500 0.000
H: 0.500 0.500 0.500
Pd: 0.000 0.500 0.500
Pd: 0.500 0.000 0.500

Results
E	-4.7190	eV/atom
N(E_F)	6.2	states/eV per cell
symmetry	P4/mmm, No. 123
total magnetization	1.8	μB/cell

***

# 4
The following is a PBE calculation of ReTcSb2I after structural relaxation, from the Alexandria database.

a = 5.083 Å, b = 5.083 Å, c = 5.825 Å
α = 90.00°, β = 90.00°, γ = 90.00°
Positions (direct):
Re: 0.000 0.000 0.000
Tc: 0.500 0.500 0.500
Sb: 0.000 0.500 0.000
Sb: 0.500 0.000 0.000
I: 0.000 0.000 0.500

Results
formation energy (no corrections)	692	kJ/mol of formula units
E	-5.0877	eV/atom
N(E_F)	3.3	states/eV per cell
symmetry	P4/mmm, No. 123
total magnetization	4.4	μB/cell
energy above the lowest structure with this stoichiometry	0.00	kcal/mol of atoms

***

# 5
The following is a PBE calculation of InTeRu3 after structural relaxation, from the Alexandria database.

a = 4.789 Å, b = 4.789 Å, c = 4.789 Å
α = 90.00°, β = 90.00°, γ = 90.00°
Positions (direct):
In: 0.000 0.000 0.000
Te: 0.500 0.500 0.500
Ru: 0.000 0.500 0.500
Ru: 0.500 0.000 0.500
Ru: 0.500 0.500 0.000

Results
formation energy (no corrections)	596	kJ/mol of formula units
E	-5.5063	eV/atom
N(E_F)	6.7	states/eV per cell
symmetry	Pm-3m, No. 221
total magnetization	0.0	μB/cell
energy above the lowest structure with this stoichiometry	0.00	kcal/mol of atoms

***

# 6
The following is a PBE calculation of Ta2CuSiCl after structural relaxation, from the Alexandria database.

a = 4.485 Å, b = 4.485 Å, c = 4.600 Å
α = 90.00°, β = 90.00°, γ = 90.00°
Positions (direct):
Ta: 0.000 0.500 0.000
Ta: 0.500 0.000 0.000
Cu: 0.000 0.000 0.500
Si: 0.500 0.500 0.500
Cl: 0.500 0.500 0.000

Results
formation energy (no corrections)	635	kJ/mol of formula units
E	-5.6973	eV/atom
N(E_F)	3.2	states/eV per cell
symmetry	P4/mmm, No. 123
total magnetization	0.0	μB/cell

***

# 7
The following is a PBE calculation of CeTaOs2 after structural relaxation, from the Alexandria database.

a = 5.289 Å, b = 5.289 Å, c = 5.289 Å
α = 49.19°, β = 49.19°, γ = 49.19°
Positions (direct):
Ce: 0.000 0.000 0.000
Ta: 0.500 0.500 0.500
Os: 0.227 0.227 0.227
Os: 0.773 0.773 0.773

Results
E	-10.0423	eV/atom
N(E_F)	4.1	states/eV per cell
symmetry	R-3m, No. 166
total magnetization	0.0	μB/cell
ΔE_f	0.019	eV/atom

***

# 8
The following is a PBE calculation of ZnGa2Sn after structural relaxation, from the Alexandria database.

a = 4.319 Å, b = 4.319 Å, c = 4.357 Å
α = 90.00°, β = 90.00°, γ = 90.00°
Positions (direct):
Zn: 0.000 0.000 0.000
Ga: 0.000 0.500 0.500
Ga: 0.500 0.000 0.500
Sn: 0.500 0.500 0.000

Results
E	-2.7407	eV/atom
N(E_F)	2.0	states/eV per cell
symmetry	P4/mmm, No. 123
total magnetization	0.0	μB/cell
energy above the lowest structure with this stoichiometry	0.83	kcal/mol of atoms
ΔE_f	0.092	eV/atom

***

# 9
The following is a PBE calculation of TaTlMo2 after structural relaxation, from the Alexandria database.

a = 2.933 Å, b = 2.933 Å, c = 9.171 Å
α = 90.00°, β = 90.00°, γ = 111.63°
Positions (direct):
Ta: 0.000 0.000 0.000
Tl: 0.000 0.000 0.500
Mo: 0.500 0.500 0.233
Mo: 0.500 0.500 0.767

Results
E	-8.6286	eV/atom
N(E_F)	1.9	states/eV per cell
symmetry	Cmmm, No. 65
total magnetization	0.0	μB/cell
energy above the lowest structure with this stoichiometry	0.03	kcal/mol of atoms
ΔE_f	0.342	eV/atom

***

# 10
The following is a PBE calculation of BaPr2Mg2Sn2 after structural relaxation, from the Alexandria database.

a = 10.425 Å, b = 10.425 Å, c = 10.425 Å
α = 28.25°, β = 28.25°, γ = 28.25°
Positions (direct):
Ba: 0.000 0.000 0.000
Pr: 0.134 0.134 0.134
Pr: 0.866 0.866 0.866
Mg: 0.422 0.422 0.422
Mg: 0.578 0.578 0.578
Sn: 0.254 0.254 0.254
Sn: 0.746 0.746 0.746

Results
E	-3.6216	eV/atom
N(E_F)	6.3	states/eV per cell
symmetry	R-3m, No. 166
total magnetization	0.0	μB/cell
ΔE_f	-0.382	eV/atom

***

# 11
The following is a PBE calculation of Sc2Pa2Co3 after structural relaxation, from the Alexandria database.

a = 6.860 Å, b = 6.860 Å, c = 5.623 Å
α = 90.13°, β = 90.13°, γ = 30.08°
Positions (direct):
Sc: 0.153 0.153 0.125
Sc: 0.847 0.847 0.875
Pa: 0.404 0.404 0.369
Pa: 0.596 0.596 0.631
Co: 0.224 0.224 0.651
Co: 0.500 0.500 0.000
Co: 0.776 0.776 0.349

Results
E	-7.8187	eV/atom
N(E_F)	7.9	states/eV per cell
symmetry	C2/m, No. 12
total magnetization	0.0	μB/cell
ΔE_f	-0.251	eV/atom